# CeNd2Sm (GGA-PBE, optimized geometry)
# DFT formation energy: 0.063 eV/atom
data_CeNd2Sm
_chemical_formula_sum 'Ce3 Nd6 Sm3'
_symmetry_space_group_name_H-M 'R 3 m'
_symmetry_Int_Tables_number 160
_symmetry_space_group_name_Hall 'R 3 -2"'
_cell_length_a 3.6236
_cell_length_b 3.6236
_cell_length_c 35.2386
_cell_angle_alpha 90.00
_cell_angle_beta 90.00
_cell_angle_gamma 120.00
loop_
_atom_site_label
_atom_site_type_symbol
_atom_site_fract_x
_atom_site_fract_y
_atom_site_fract_z
Ce1 Ce 0.0000 0.0000 0.0000
Nd1 Nd 0.0000 0.0000 0.4144
Nd2 Nd 0.0000 0.0000 0.5851
Sm1 Sm 0.0000 0.0000 0.8332

=====

# CeNd4Sm3 (GGA-PBE, optimized geometry)
# DFT formation energy: 0.236 eV/atom
data_CeNd4Sm3
_chemical_formula_sum 'Ce2 Nd8 Sm6'
_symmetry_space_group_name_H-M 'C 1 2/m 1'
_symmetry_Int_Tables_number 12
_cell_length_a 25.5044
_cell_length_b 3.4823
_cell_length_c 6.2504
_cell_angle_alpha 90.00
_cell_angle_beta 96.01
_cell_angle_gamma 90.00
loop_
_symmetry_equiv_pos_as_xyz
'x,y,z'
'-x,-y,-z'
'-x,y,-z'
'x,-y,z'
'x+1/2,y+1/2,z'
'-x+1/2,-y+1/2,-z'
'-x+1/2,y+1/2,-z'
'x+1/2,-y+1/2,z'
loop_
_atom_site_label
_atom_site_type_symbol
_atom_site_fract_x
_atom_site_fract_y
_atom_site_fract_z
Ce1 Ce 0.0000 0.0000 0.0000
Nd1 Nd 0.1038 0.5000 0.2342
Nd2 Nd 0.2214 0.0000 0.2359
Sm1 Sm 0.0000 0.5000 0.5000
Sm2 Sm 0.1426 0.5000 0.7511

=====

# CeNd4Sm10 (GGA-PBE, optimized geometry)
# DFT formation energy: 0.238 eV/atom
data_CeNd4Sm10
_chemical_formula_sum 'Ce2 Nd8 Sm20'
_symmetry_space_group_name_H-M 'I 4/m m m'
_symmetry_Int_Tables_number 139
_symmetry_space_group_name_Hall '-I 4 2'
_cell_length_a 11.3926
_cell_length_b 11.3926
_cell_length_c 8.0802
_cell_angle_alpha 90.00
_cell_angle_beta 90.00
_cell_angle_gamma 90.00
loop_
_atom_site_label
_atom_site_type_symbol
_atom_site_fract_x
_atom_site_fract_y
_atom_site_fract_z
Ce1 Ce 0.0000 0.0000 0.0000
Nd1 Nd 0.2262 0.2262 0.0000
Sm1 Sm 0.0000 0.2084 0.2921
Sm2 Sm 0.0000 0.5000 0.2500

=====

# CeNd8Sm2 (GGA-PBE, optimized geometry)
# DFT formation energy: 0.115 eV/atom
data_CeNd8Sm2
_chemical_formula_sum 'Ce2 Nd16 Sm4'
_symmetry_space_group_name_H-M 'I m m m'
_symmetry_Int_Tables_number 71
_symmetry_space_group_name_Hall '-I 2 2'
_cell_length_a 5.7390
_cell_length_b 8.2900
_cell_length_c 16.1322
_cell_angle_alpha 90.00
_cell_angle_beta 90.00
_cell_angle_gamma 90.00
loop_
_atom_site_label
_atom_site_type_symbol
_atom_site_fract_x
_atom_site_fract_y
_atom_site_fract_z
Ce1 Ce 0.0000 0.0000 0.0000
Nd1 Nd 0.0000 0.2118 0.5000
Nd2 Nd 0.0000 0.2913 0.1347
Nd3 Nd 0.0000 0.5000 0.3386
Sm1 Sm 0.0000 0.0000 0.3002

=====

# CeNd10Sm4 (GGA-PBE, optimized geometry)
# DFT formation energy: 0.230 eV/atom
data_CeNd10Sm4
_chemical_formula_sum 'Ce2 Nd20 Sm8'
_symmetry_space_group_name_H-M 'I 4/m m m'
_symmetry_Int_Tables_number 139
_symmetry_space_group_name_Hall '-I 4 2'
_cell_length_a 11.4676
_cell_length_b 11.4676
_cell_length_c 8.0656
_cell_angle_alpha 90.00
_cell_angle_beta 90.00
_cell_angle_gamma 90.00
loop_
_atom_site_label
_atom_site_type_symbol
_atom_site_fract_x
_atom_site_fract_y
_atom_site_fract_z
Ce1 Ce 0.0000 0.0000 0.0000
Nd1 Nd 0.0000 0.2109 0.2902
Nd2 Nd 0.0000 0.5000 0.2500
Sm1 Sm 0.2271 0.2271 0.0000

=====

# CeNd2Sm (GGA-PBE, optimized geometry)
# DFT formation energy: 0.081 eV/atom
data_CeNd2Sm
_chemical_formula_sum 'Ce1 Nd2 Sm1'
_symmetry_space_group_name_H-M 'P 4/m m m'
_symmetry_Int_Tables_number 123
_symmetry_space_group_name_Hall '-P 4 2'
_cell_length_a 5.1245
_cell_length_b 5.1245
_cell_length_c 5.1223
_cell_angle_alpha 90.00
_cell_angle_beta 90.00
_cell_angle_gamma 90.00
loop_
_atom_site_label
_atom_site_type_symbol
_atom_site_fract_x
_atom_site_fract_y
_atom_site_fract_z
Ce1 Ce 0.0000 0.0000 0.0000
Nd1 Nd 0.0000 0.5000 0.5000
Sm1 Sm 0.5000 0.5000 0.0000

=====

# CeNdSm2 (GGA-PBE, optimized geometry)
# DFT formation energy: 0.079 eV/atom
data_CeNdSm2
_chemical_formula_sum 'Ce1 Nd1 Sm2'
_symmetry_space_group_name_H-M 'P 4/m m m'
_symmetry_Int_Tables_number 123
_symmetry_space_group_name_Hall '-P 4 2'
_cell_length_a 5.1078
_cell_length_b 5.1078
_cell_length_c 5.1003
_cell_angle_alpha 90.00
_cell_angle_beta 90.00
_cell_angle_gamma 90.00
loop_
_atom_site_label
_atom_site_type_symbol
_atom_site_fract_x
_atom_site_fract_y
_atom_site_fract_z
Ce1 Ce 0.0000 0.0000 0.0000
Nd1 Nd 0.5000 0.5000 0.0000
Sm1 Sm 0.0000 0.5000 0.5000

=====

# Ce2Nd8Sm (GGA-PBE, optimized geometry)
# DFT formation energy: 0.153 eV/atom
data_Ce2Nd8Sm
_chemical_formula_sum 'Ce4 Nd16 Sm2'
_symmetry_space_group_name_H-M 'I m m m'
_symmetry_Int_Tables_number 71
_symmetry_space_group_name_Hall '-I 2 2'
_cell_length_a 5.6522
_cell_length_b 8.3847
_cell_length_c 16.1221
_cell_angle_alpha 90.00
_cell_angle_beta 90.00
_cell_angle_gamma 90.00
loop_
_atom_site_label
_atom_site_type_symbol
_atom_site_fract_x
_atom_site_fract_y
_atom_site_fract_z
Ce1 Ce 0.0000 0.0000 0.1999
Nd1 Nd 0.0000 0.2024 0.0000
Nd2 Nd 0.0000 0.2947 0.3600
Nd3 Nd 0.0000 0.5000 0.1581
Sm1 Sm 0.0000 0.0000 0.5000

=====

# CeNd5Sm8 (GGA-PBE, optimized geometry)
# DFT formation energy: 0.179 eV/atom
data_CeNd5Sm8
_chemical_formula_sum 'Ce2 Nd10 Sm16'
_symmetry_space_group_name_H-M 'C 1 2 1'
_symmetry_Int_Tables_number 5
_cell_length_a 13.1456
_cell_length_b 11.2510
_cell_length_c 9.1332
_cell_angle_alpha 90.00
_cell_angle_beta 133.83
_cell_angle_gamma 90.00
loop_
_symmetry_equiv_pos_as_xyz
'x,y,z'
'-x,y,-z'
'x+1/2,y+1/2,z'
'-x+1/2,y+1/2,-z'
loop_
_atom_site_label
_atom_site_type_symbol
_atom_site_fract_x
_atom_site_fract_y
_atom_site_fract_z
Ce1 Ce 0.0000 0.0000 0.0000
Nd1 Nd 0.0000 0.0012 0.5000
Nd2 Nd 0.1773 0.5006 0.8921
Nd3 Nd 0.1928 0.6964 0.6244
Sm1 Sm 0.0594 0.7761 0.8554
Sm2 Sm 0.0596 0.2246 0.8520
Sm3 Sm 0.1529 0.5010 0.2625
Sm4 Sm 0.1916 0.3054 0.6237

=====

# Tb3CeNd2Sm6 (GGA-PBE, optimized geometry)
# DFT formation energy: 0.039 eV/atom
data_Tb3CeNd2Sm6
_chemical_formula_sum 'Tb6 Ce2 Nd4 Sm12'
_symmetry_space_group_name_H-M 'C 1 2/m 1'
_symmetry_Int_Tables_number 12
_cell_length_a 6.2646
_cell_length_b 10.8540
_cell_length_c 11.9844
_cell_angle_alpha 90.00
_cell_angle_beta 100.09
_cell_angle_gamma 90.00
loop_
_symmetry_equiv_pos_as_xyz
'x,y,z'
'-x,-y,-z'
'-x,y,-z'
'x,-y,z'
'x+1/2,y+1/2,z'
'-x+1/2,-y+1/2,-z'
'-x+1/2,y+1/2,-z'
'x+1/2,-y+1/2,z'
loop_
_atom_site_label
_atom_site_type_symbol
_atom_site_fract_x
_atom_site_fract_y
_atom_site_fract_z
Tb1 Tb 0.0000 0.0000 0.0000
Tb2 Tb 0.0000 0.3332 0.0000
Ce1 Ce 0.0000 0.5000 0.5000
Nd1 Nd 0.0000 0.1665 0.5000
Sm1 Sm 0.2469 0.5000 0.2480
Sm2 Sm 0.2491 0.3347 0.7518

=====

# TbCeNdSm2 (GGA-PBE, optimized geometry)
# DFT formation energy: 0.272 eV/atom
data_TbCeNdSm2
_chemical_formula_sum 'Tb2 Ce2 Nd2 Sm4'
_symmetry_space_group_name_H-M 'P m m a'
_symmetry_Int_Tables_number 51
_cell_length_a 5.9974
_cell_length_b 8.0349
_cell_length_c 6.9958
_cell_angle_alpha 90.00
_cell_angle_beta 90.00
_cell_angle_gamma 90.00
loop_
_symmetry_equiv_pos_as_xyz
'x,y,z'
'-x,-y,-z'
'-x+1/2,-y,z'
'x+1/2,y,-z'
'x+1/2,-y,-z'
'-x+1/2,y,z'
'-x,y,-z'
'x,-y,z'
loop_
_atom_site_label
_atom_site_type_symbol
_atom_site_fract_x
_atom_site_fract_y
_atom_site_fract_z
Tb1 Tb 0.2500 0.0000 0.0957
Ce1 Ce 0.0000 0.0000 0.5000
Nd1 Nd 0.2500 0.5000 0.3367
Sm1 Sm 0.2500 0.2946 0.8098

=====

# Tb6Ce2NdSm3 (GGA-PBE, optimized geometry)
# DFT formation energy: 0.047 eV/atom
data_Tb6Ce2NdSm3
_chemical_formula_sum 'Tb12 Ce4 Nd2 Sm6'
_symmetry_space_group_name_H-M 'C 1 2/m 1'
_symmetry_Int_Tables_number 12
_cell_length_a 6.2062
_cell_length_b 10.7523
_cell_length_c 11.8230
_cell_angle_alpha 90.00
_cell_angle_beta 100.09
_cell_angle_gamma 90.00
loop_
_symmetry_equiv_pos_as_xyz
'x,y,z'
'-x,-y,-z'
'-x,y,-z'
'x,-y,z'
'x+1/2,y+1/2,z'
'-x+1/2,-y+1/2,-z'
'-x+1/2,y+1/2,-z'
'x+1/2,-y+1/2,z'
loop_
_atom_site_label
_atom_site_type_symbol
_atom_site_fract_x
_atom_site_fract_y
_atom_site_fract_z
Tb1 Tb 0.2467 0.0000 0.2479
Tb2 Tb 0.2490 0.1681 0.7521
Ce1 Ce 0.0000 0.1667 0.0000
Nd1 Nd 0.0000 0.5000 0.0000
Sm1 Sm 0.0000 0.0000 0.5000
Sm2 Sm 0.0000 0.3338 0.5000

=====

# Tb2CeNd3Sm6 (GGA-PBE, optimized geometry)
# DFT formation energy: 0.037 eV/atom
data_Tb2CeNd3Sm6
_chemical_formula_sum 'Tb4 Ce2 Nd6 Sm12'
_symmetry_space_group_name_H-M 'C 1 2/m 1'
_symmetry_Int_Tables_number 12
_cell_length_a 6.2806
_cell_length_b 10.8809
_cell_length_c 12.0307
_cell_angle_alpha 90.00
_cell_angle_beta 100.07
_cell_angle_gamma 90.00
loop_
_symmetry_equiv_pos_as_xyz
'x,y,z'
'-x,-y,-z'
'-x,y,-z'
'x,-y,z'
'x+1/2,y+1/2,z'
'-x+1/2,-y+1/2,-z'
'-x+1/2,y+1/2,-z'
'x+1/2,-y+1/2,z'
loop_
_atom_site_label
_atom_site_type_symbol
_atom_site_fract_x
_atom_site_fract_y
_atom_site_fract_z
Tb1 Tb 0.0000 0.1665 0.0000
Ce1 Ce 0.0000 0.5000 0.0000
Nd1 Nd 0.0000 0.0000 0.5000
Nd2 Nd 0.0000 0.3328 0.5000
Sm1 Sm 0.2476 0.3345 0.2463
Sm2 Sm 0.2492 0.5000 0.7534

=====

# Tb2CeNdSm6 (GGA-PBE, optimized geometry)
# DFT formation energy: 0.244 eV/atom
data_Tb2CeNdSm6
_chemical_formula_sum 'Tb4 Ce2 Nd2 Sm12'
_symmetry_space_group_name_H-M 'C 1 2/m 1'
_symmetry_Int_Tables_number 12
_cell_length_a 11.4363
_cell_length_b 6.8612
_cell_length_c 8.9714
_cell_angle_alpha 90.00
_cell_angle_beta 104.55
_cell_angle_gamma 90.00
loop_
_symmetry_equiv_pos_as_xyz
'x,y,z'
'-x,-y,-z'
'-x,y,-z'
'x,-y,z'
'x+1/2,y+1/2,z'
'-x+1/2,-y+1/2,-z'
'-x+1/2,y+1/2,-z'
'x+1/2,-y+1/2,z'
loop_
_atom_site_label
_atom_site_type_symbol
_atom_site_fract_x
_atom_site_fract_y
_atom_site_fract_z
Tb1 Tb 0.0898 0.0000 0.1629
Ce1 Ce 0.0000 0.5000 0.0000
Nd1 Nd 0.0000 0.0000 0.5000
Sm1 Sm 0.1275 0.5000 0.4152
Sm2 Sm 0.1718 0.2384 0.8025

=====

# Tb3Ce2NdSm6 (GGA-PBE, optimized geometry)
# DFT formation energy: 0.054 eV/atom
data_Tb3Ce2NdSm6
_chemical_formula_sum 'Tb6 Ce4 Nd2 Sm12'
_symmetry_space_group_name_H-M 'C 1 2/m 1'
_symmetry_Int_Tables_number 12
_cell_length_a 6.2302
_cell_length_b 10.7946
_cell_length_c 11.9364
_cell_angle_alpha 90.00
_cell_angle_beta 100.08
_cell_angle_gamma 90.00
loop_
_symmetry_equiv_pos_as_xyz
'x,y,z'
'-x,-y,-z'
'-x,y,-z'
'x,-y,z'
'x+1/2,y+1/2,z'
'-x+1/2,-y+1/2,-z'
'-x+1/2,y+1/2,-z'
'x+1/2,-y+1/2,z'
loop_
_atom_site_label
_atom_site_type_symbol
_atom_site_fract_x
_atom_site_fract_y
_atom_site_fract_z
Tb1 Tb 0.0000 0.0000 0.0000
Tb2 Tb 0.0000 0.3335 0.0000
Ce1 Ce 0.0000 0.1667 0.5000
Nd1 Nd 0.0000 0.5000 0.5000
Sm1 Sm 0.2470 0.0000 0.7498
Sm2 Sm 0.2478 0.1684 0.2502

=====

# Ce3Nd4SmTe8 (GGA-PBE, optimized geometry)
# Formation energy without anion corrections: -1.403 eV per atom
data_Ce3Nd4SmTe8
_chemical_formula_sum 'Ce9 Nd12 Sm3 Te24'
_symmetry_space_group_name_H-M 'R -3 m'
_symmetry_Int_Tables_number 166
_symmetry_space_group_name_Hall '-R 3 2"'
_cell_length_a 8.9565
_cell_length_b 8.9565
_cell_length_c 22.0922
_cell_angle_alpha 90.00
_cell_angle_beta 90.00
_cell_angle_gamma 120.00
loop_
_atom_site_label
_atom_site_type_symbol
_atom_site_fract_x
_atom_site_fract_y
_atom_site_fract_z
Ce1 Ce 0.0000 0.5000 0.0000
Nd1 Nd 0.0000 0.0000 0.5000
Nd2 Nd 0.0000 0.5000 0.5000
Sm1 Sm 0.0000 0.0000 0.0000
Te1 Te 0.0000 0.0000 0.2502
Te2 Te 0.0014 0.5007 0.7493

=====

# Ce2Nd3SmTe6 (GGA-PBE, optimized geometry)
# Formation energy without anion corrections: -1.404 eV per atom
data_Ce2Nd3SmTe6
_chemical_formula_sum 'Ce4 Nd6 Sm2 Te12'
_symmetry_space_group_name_H-M 'C 1 2/m 1'
_symmetry_Int_Tables_number 12
_cell_length_a 19.5780
_cell_length_b 4.4649
_cell_length_c 9.0264
_cell_angle_alpha 90.00
_cell_angle_beta 103.65
_cell_angle_gamma 90.00
loop_
_symmetry_equiv_pos_as_xyz
'x,y,z'
'-x,-y,-z'
'-x,y,-z'
'x,-y,z'
'x+1/2,y+1/2,z'
'-x+1/2,-y+1/2,-z'
'-x+1/2,y+1/2,-z'
'x+1/2,-y+1/2,z'
loop_
_atom_site_label
_atom_site_type_symbol
_atom_site_fract_x
_atom_site_fract_y
_atom_site_fract_z
Ce1 Ce 0.1671 0.0000 0.3348
Nd1 Nd 0.0000 0.5000 0.5000
Nd2 Nd 0.1661 0.0000 0.8333
Sm1 Sm 0.0000 0.5000 0.0000
Te1 Te 0.0005 0.0000 0.2472
Te2 Te 0.1657 0.5000 0.0839
Te3 Te 0.1666 0.5000 0.5836

=====

# Ce3Nd2SmTe6 (GGA-PBE, optimized geometry)
# Formation energy without anion corrections: -1.397 eV per atom
data_Ce3Nd2SmTe6
_chemical_formula_sum 'Ce6 Nd4 Sm2 Te12'
_symmetry_space_group_name_H-M 'C 1 2/m 1'
_symmetry_Int_Tables_number 12
_cell_length_a 7.7321
_cell_length_b 13.4134
_cell_length_c 7.8222
_cell_angle_alpha 90.00
_cell_angle_beta 109.28
_cell_angle_gamma 90.00
loop_
_symmetry_equiv_pos_as_xyz
'x,y,z'
'-x,-y,-z'
'-x,y,-z'
'x,-y,z'
'x+1/2,y+1/2,z'
'-x+1/2,-y+1/2,-z'
'-x+1/2,y+1/2,-z'
'x+1/2,-y+1/2,z'
loop_
_atom_site_label
_atom_site_type_symbol
_atom_site_fract_x
_atom_site_fract_y
_atom_site_fract_z
Ce1 Ce 0.0000 0.0000 0.0000
Ce2 Ce 0.0000 0.3317 0.0000
Nd1 Nd 0.0000 0.1664 0.5000
Sm1 Sm 0.0000 0.5000 0.5000
Te1 Te 0.2470 0.5000 0.2497
Te2 Te 0.2480 0.3346 0.7485

=====

# Ce3NdSm3Te8 (GGA-PBE, optimized geometry)
# Formation energy without anion corrections: -1.423 eV per atom
data_Ce3NdSm3Te8
_chemical_formula_sum 'Ce9 Nd3 Sm9 Te24'
_symmetry_space_group_name_H-M 'R -3 m'
_symmetry_Int_Tables_number 166
_symmetry_space_group_name_Hall '-R 3 2"'
_cell_length_a 8.9131
_cell_length_b 8.9131
_cell_length_c 21.8422
_cell_angle_alpha 90.00
_cell_angle_beta 90.00
_cell_angle_gamma 120.00
loop_
_atom_site_label
_atom_site_type_symbol
_atom_site_fract_x
_atom_site_fract_y
_atom_site_fract_z
Ce1 Ce 0.0000 0.5000 0.0000
Nd1 Nd 0.0000 0.0000 0.0000
Sm1 Sm 0.0000 0.5000 0.5000
Te1 Te 0.0000 0.0000 0.2488
Te2 Te 0.0066 0.5033 0.2471

=====

# Ce2NdSmTe5 (GGA-PBE, optimized geometry)
# Formation energy without anion corrections: -0.793 eV per atom
data_Ce2NdSmTe5
_chemical_formula_sum 'Ce2 Nd1 Sm1 Te5'
_symmetry_space_group_name_H-M 'P 4/m m m'
_symmetry_Int_Tables_number 123
_symmetry_space_group_name_Hall '-P 4 2'
_cell_length_a 5.6263
_cell_length_b 5.6263
_cell_length_c 11.8671
_cell_angle_alpha 90.00
_cell_angle_beta 90.00
_cell_angle_gamma 90.00
loop_
_atom_site_label
_atom_site_type_symbol
_atom_site_fract_x
_atom_site_fract_y
_atom_site_fract_z
Ce1 Ce 0.0000 0.0000 0.1663
Nd1 Nd 0.5000 0.5000 0.5000
Sm1 Sm 0.5000 0.5000 0.0000
Te1 Te 0.0000 0.0000 0.5000
Te2 Te 0.0000 0.5000 0.0000
Te3 Te 0.5000 0.5000 0.2529

=====

# CeNd3Sm4Te8 (GGA-PBE, optimized geometry)
# Formation energy without anion corrections: -1.396 eV per atom
data_CeNd3Sm4Te8
_chemical_formula_sum 'Ce3 Nd9 Sm12 Te24'
_symmetry_space_group_name_H-M 'R -3 m'
_symmetry_Int_Tables_number 166
_symmetry_space_group_name_Hall '-R 3 2"'
_cell_length_a 8.9348
_cell_length_b 8.9348
_cell_length_c 21.9430
_cell_angle_alpha 90.00
_cell_angle_beta 90.00
_cell_angle_gamma 120.00
loop_
_atom_site_label
_atom_site_type_symbol
_atom_site_fract_x
_atom_site_fract_y
_atom_site_fract_z
Ce1 Ce 0.0000 0.0000 0.0000
Nd1 Nd 0.0000 0.5000 0.0000
Sm1 Sm 0.0000 0.0000 0.5000
Sm2 Sm 0.0000 0.5000 0.5000
Te1 Te 0.0000 0.0000 0.2485
Te2 Te 0.0008 0.5004 0.7513